[1]
VASP calculation (PBE-GGA) on ThTaRu after structural relaxation.

SG: R-3m, No. 166
Energy relative to the elements, meV per atom: 350

extended XYZ file:
```
6
Lattice="2.125 1.227 9.798 -2.125 1.227 9.798 0.000 -2.454 9.798" Properties=species:S:1:pos:R:3 pbc="T T T"
Th 0.000 0.000 3.503
Th 0.000 0.000 25.890
Ta 0.000 0.000 11.270
Ta 0.000 0.000 18.123
Ru 0.000 0.000 8.643
Ru 0.000 0.000 20.751
```

---

[2]
VASP calculation (PBE-GGA) on Ta4TiRu2 after structural relaxation.

SG: I4/mmm, No. 139
Energy relative to the elements, meV per atom: 1112

extended XYZ file:
```
14
Lattice="4.584 0.000 0.000 0.000 4.584 0.000 0.000 0.000 13.088" Properties=species:S:1:pos:R:3 pbc="T T T"
Ta 0.000 0.000 2.583
Ta 0.000 0.000 10.505
Ta 0.000 2.292 0.000
Ta 0.000 2.292 6.544
Ta 2.292 0.000 0.000
Ta 2.292 0.000 6.544
Ta 2.292 2.292 3.961
Ta 2.292 2.292 9.127
Ti 0.000 0.000 0.000
Ti 2.292 2.292 6.544
Ru 0.000 0.000 4.983
Ru 0.000 0.000 8.105
Ru 2.292 2.292 1.561
Ru 2.292 2.292 11.527
```

---

[3]
VASP calculation (PBE-GGA) on Ta2TiRu after structural relaxation.

SG: P4/mmm, No. 123
Energy relative to the elements, meV per atom: -267

extended XYZ file:
```
4
Lattice="3.159 0.000 0.000 0.000 3.159 0.000 0.000 0.000 6.655" Properties=species:S:1:pos:R:3 pbc="T T T"
Ta 0.000 0.000 1.609
Ta 0.000 0.000 5.046
Ti 1.579 1.579 3.328
Ru 1.579 1.579 0.000
```

---

[4]
VASP calculation (PBE-GGA) on TaTi3Ru after structural relaxation.

E above lowest polymorph, meV/atom: 696.1
SG: Pm-3m, No. 221
Energy relative to the elements, meV per atom: 1329

extended XYZ file:
```
5
Lattice="4.683 0.000 0.000 0.000 4.683 0.000 0.000 0.000 4.683" Properties=species:S:1:pos:R:3 pbc="T T T"
Ta 0.000 0.000 0.000
Ti 0.000 0.000 2.341
Ti 0.000 2.341 0.000
Ti 2.341 0.000 0.000
Ru 2.341 2.341 2.341
```

---

[5]
VASP calculation (PBE-GGA) on TaTi5Ru6 after structural relaxation.

SG: Immm, No. 71
Energy relative to the elements, meV per atom: -703

extended XYZ file:
```
12
Lattice="-2.195 3.092 6.575 2.195 -3.092 6.575 2.195 3.092 -6.575" Properties=species:S:1:pos:R:3 pbc="T T T"
Ta 0.000 0.000 0.000
Ti 2.195 0.000 2.209
Ti 0.000 0.000 4.375
Ti 0.000 3.092 0.000
Ti 0.000 0.000 8.775
Ti 0.000 3.092 4.366
Ru 2.195 -1.539 4.376
Ru 2.195 1.559 0.000
Ru 0.000 1.552 2.199
Ru 2.195 1.539 4.376
Ru 0.000 1.532 6.575
Ru 0.000 4.631 2.199
```

---

[6]
VASP calculation (PBE-GGA) on Ta2TiRu2 after structural relaxation.

E above lowest polymorph, meV/atom: 0.0
SG: Cmmm, No. 65
Energy relative to the elements, meV per atom: -235

extended XYZ file:
```
10
Lattice="2.994 0.000 0.000 0.000 18.150 0.000 0.000 0.000 3.025" Properties=species:S:1:pos:R:3 pbc="T T T"
Ta 0.000 3.303 0.000
Ta 0.000 14.848 0.000
Ta 1.497 5.772 0.000
Ta 1.497 12.378 0.000
Ti 0.000 0.000 0.000
Ti 1.497 9.075 0.000
Ru 0.000 7.522 1.513
Ru 0.000 10.628 1.513
Ru 1.497 1.553 1.513
Ru 1.497 16.597 1.513
```

---

[7]
VASP calculation (PBE-GGA) on TaTi3Ru2 after structural relaxation.

SG: P4/mmm, No. 123
Energy relative to the elements, meV per atom: -500

extended XYZ file:
```
6
Lattice="3.089 0.000 0.000 0.000 3.089 0.000 0.000 0.000 9.796" Properties=species:S:1:pos:R:3 pbc="T T T"
Ta 0.000 0.000 0.000
Ti 1.545 1.545 1.831
Ti 1.545 1.545 4.898
Ti 1.545 1.545 7.965
Ru 0.000 0.000 3.356
Ru 0.000 0.000 6.440
```

---

[8]
VASP calculation (PBE-GGA) on TaTi2Ru4 after structural relaxation.

SG: I4/mmm, No. 139
Energy relative to the elements, meV per atom: -179

extended XYZ file:
```
14
Lattice="6.109 0.000 0.000 0.000 6.109 0.000 0.000 0.000 6.072" Properties=species:S:1:pos:R:3 pbc="T T T"
Ta 0.000 0.000 0.000
Ta 3.055 3.055 3.036
Ti 0.000 3.055 0.000
Ti 0.000 3.055 3.036
Ti 3.055 0.000 0.000
Ti 3.055 0.000 3.036
Ru 1.527 1.527 1.518
Ru 1.527 1.527 4.554
Ru 1.527 4.582 1.518
Ru 1.527 4.582 4.554
Ru 4.582 1.527 1.518
Ru 4.582 1.527 4.554
Ru 4.582 4.582 1.518
Ru 4.582 4.582 4.554
```

---

[9]
VASP calculation (PBE-GGA) on Ta2TiRu2 after structural relaxation.

E above lowest polymorph, meV/atom: 107.9
SG: P4/mbm, No. 127
Energy relative to the elements, meV per atom: -127

extended XYZ file:
```
10
Lattice="7.412 0.000 0.000 0.000 7.412 0.000 0.000 0.000 3.079" Properties=species:S:1:pos:R:3 pbc="T T T"
Ta 1.216 2.490 0.000
Ta 2.490 6.196 0.000
Ta 4.922 1.216 0.000
Ta 6.196 4.922 0.000
Ti 0.000 0.000 1.540
Ti 3.706 3.706 1.540
Ru 1.017 4.723 1.540
Ru 2.689 1.017 1.540
Ru 4.723 6.395 1.540
Ru 6.395 2.689 1.540
```

---

[10]
VASP calculation (PBE-GGA) on Ta4Ti2Ru after structural relaxation.

SG: P-1, No. 2
Energy relative to the elements, meV per atom: -15

extended XYZ file:
```
7
Lattice="2.883 0.000 0.000 -1.340 6.867 0.000 -0.972 -3.380 6.166" Properties=species:S:1:pos:R:3 pbc="T T T"
Ta -0.796 2.004 1.709
Ta 0.532 -0.457 2.563
Ta 0.038 3.944 3.603
Ta 1.367 1.482 4.458
Ti -0.131 -0.976 5.269
Ti 0.702 4.463 0.897
Ru 0.000 0.000 0.000
```

---

[11]
VASP calculation (PBE-GGA) on Ta2Ti2Ru after structural relaxation.

SG: C2/m, No. 12
Energy relative to the elements, meV per atom: 52

extended XYZ file:
```
10
Lattice="2.841 -3.984 0.000 2.841 3.984 0.000 -2.587 0.000 7.819" Properties=species:S:1:pos:R:3 pbc="T T T"
Ta 0.359 0.000 2.811
Ta 1.303 0.000 0.130
Ta 1.793 0.000 7.689
Ta 2.736 0.000 5.008
Ti 0.135 1.454 6.125
Ti 2.961 1.454 1.694
Ti 0.135 -1.454 6.125
Ti 2.961 -1.454 1.694
Ru 1.548 2.067 3.910
Ru 1.548 -2.067 3.910
```

---

[12]
VASP calculation (PBE-GGA) on Ta6TiRu5 after structural relaxation.

SG: Cmmm, No. 65
Energy relative to the elements, meV per atom: -325

extended XYZ file:
```
12
Lattice="2.231 -6.728 0.000 2.231 6.728 0.000 0.000 0.000 6.424" Properties=species:S:1:pos:R:3 pbc="T T T"
Ta 0.000 0.000 1.596
Ta 0.000 0.000 4.828
Ta 2.231 2.222 1.592
Ta 2.231 2.222 4.832
Ta 2.231 -2.222 1.592
Ta 2.231 -2.222 4.832
Ti 2.231 0.000 0.000
Ru 2.231 4.470 3.212
Ru 2.231 4.451 0.000
Ru 2.231 0.000 3.212
Ru 2.231 -4.451 0.000
Ru 2.231 -4.470 3.212
```

---

Listing theoretical density for the structures above in their given order: 11141, 11759, 12776, 6883, 9554, 12362, 9356, 9980, 12013, 12522, 10482, 14113 kg/m3.